{
  "formula": "LiEu2Zn",
  "functional": "PBE",
  "state": "relaxed",
  "e_tot_ev_per_atom": -6.06,
  "delta_e_f_mev_per_atom": -122,
  "cell": [[-0.278, 2.754, -2.678], [-1.862, -2.445, -2.321], [-6.879, 2.308, 3.087]],
  "species": ["Eu", "Eu", "Li", "Zn"],
  "frac_coords": [[0.000, 0.000, 0.774], [0.000, 0.000, 0.226], [0.500, 0.500, 0.500], [0.500, 0.500, 0.000]]
}